Sc4TcBr, relaxed, DFT PBE; raw formation energy = 610.1 meV/atom; VASP energy = -0.2064 Ha/atom
1.0
0.0000 4.0519 4.0519
4.0519 0.0000 4.0519
4.0519 4.0519 0.0000
Sc Tc Br
4 1 1
direct
0.1215 0.1215 0.1215 Sc
0.1215 0.1215 0.6354 Sc
0.1215 0.6354 0.1215 Sc
0.6354 0.1215 0.1215 Sc
0.7500 0.7500 0.7500 Tc
0.5000 0.5000 0.5000 Br